[1]
Entry from the Alexandria database: a relaxed YZrSc2 crystal (PBE).

The structure belongs to space group Pmm2 (No. 25); the cell edges are 3.314, 4.631 and 6.694 Å and the angles 90.00°, 90.00° and 90.00°. The distinct sites, in fractional coordinates, are Y at (0.000, 0.000, 0.000), Zr at (0.500, 0.500, 0.254), Sc at (0.000, 0.000, 0.481) and Sc at (0.500, 0.500, 0.728).

The energy above the most stable polymorph in this dataset comes out at 16 kJ/mol of formula units. The value obtained for the formation enthalpy at 0 K is 0.07 eV per atom. The calculation puts the magnetization at 0.0 μB per formula unit. The value obtained for the density is 4.4 Mg/m³. As for the volume: 102.7 Å³/f.u.

[2]
Entry from the Alexandria database: a relaxed YZr2Sc crystal (PBE).

The structure belongs to space group Pmm2 (No. 25); the cell edges are 3.320, 4.517 and 6.797 Å and the angles 90.00°, 90.00° and 90.00°. The distinct sites, in fractional coordinates, are Y at (0.000, 0.000, 0.000), Zr at (0.000, 0.000, 0.485), Zr at (0.500, 0.500, 0.268) and Sc at (0.500, 0.500, 0.719).

The energy above the most stable polymorph in this dataset comes out at 14 kJ/mol of formula units. The value obtained for the formation enthalpy at 0 K is 0.07 eV per atom. The calculation puts the magnetization at 0.0 μB per formula unit. The value obtained for the density is 5.2 Mg/m³. As for the volume: 101.9 Å³/f.u.

[3]
Entry from the Alexandria database: a relaxed YZr2Sc crystal (PBE).

The structure belongs to space group I-4m2 (No. 119); the cell edges are 4.678, 4.678 and 9.177 Å and the angles 90.00°, 90.00° and 90.00°. The distinct sites, in fractional coordinates, are Y at (0.000, 0.000, 0.000), Zr at (0.000, 0.000, 0.500), Zr at (0.000, 0.500, 0.250) and Sc at (0.000, 0.500, 0.750).

The energy above the most stable polymorph in this dataset comes out at 21 kJ/mol of formula units. The value obtained for the formation enthalpy at 0 K is 0.08 eV per atom. The calculation puts the magnetization at 0.0 μB per formula unit. The value obtained for the density is 5.2 Mg/m³. As for the volume: 100.4 Å³/f.u.

[4]
Entry from the Alexandria database: a relaxed Y2ZrSc crystal (PBE).

The structure belongs to space group F-43m (No. 216); the cell edges are 7.628, 7.628 and 7.628 Å and the angles 90.00°, 90.00° and 90.00°. The distinct sites, in fractional coordinates, are Y at (0.000, 0.000, 0.000), Y at (0.250, 0.250, 0.250), Zr at (0.250, 0.250, 0.750) and Sc at (0.000, 0.000, 0.500).

The energy above the most stable polymorph in this dataset comes out at 60 kJ/mol of formula units. The value obtained for the formation enthalpy at 0 K is 0.20 eV per atom. The calculation puts the magnetization at 2.3 μB per formula unit. The value obtained for the density is 4.7 Mg/m³. As for the volume: 110.9 Å³/f.u.